[1]
Here is Lu3Fe after structural relaxation from the Open Quantum Materials Database. Energies are from PBE-GGA.

Unit cell a=5.707 b=5.707 c=5.707 alpha=133.63 beta=133.63 gamma=67.66
Last column: magnetic moment on the atom in μB.
Element x y z (fractional)
Lu: 0.750 0.250 0.500  -0.18
Lu: 0.250 0.750 0.500  -0.18
Lu: 0.500 0.500 0.000  -0.18
Fe: 0.000 0.000 0.000  2.56

=====

[2]
Here is LuFe3 after structural relaxation from the Open Quantum Materials Database. Energies are from PBE-GGA.

Unit cell a=4.950 b=4.950 c=4.950 alpha=135.41 beta=135.41 gamma=64.90
Last column: magnetic moment on the atom in μB.
Element x y z (fractional)
Lu: 0.000 0.000 0.000  -0.31
Fe: 0.500 0.500 0.000  2.29
Fe: 0.250 0.750 0.500  2.52
Fe: 0.750 0.250 0.500  2.52

=====

[3]
Here is LuFe3 after structural relaxation from the Open Quantum Materials Database. Energies are from PBE-GGA.

Unit cell a=5.713 b=5.713 c=4.287 alpha=90.00 beta=90.00 gamma=120.00
Last column: magnetic moment on the atom in μB.
Element x y z (fractional)
Lu: 0.667 0.333 0.250  -0.22
Lu: 0.333 0.667 0.750  -0.22
Fe: 0.282 0.141 0.750  2.21
Fe: 0.141 0.282 0.250  2.28
Fe: 0.141 0.859 0.250  2.34
Fe: 0.718 0.859 0.250  2.21
Fe: 0.859 0.718 0.750  2.28
Fe: 0.859 0.141 0.750  2.34

=====

| no. | ΔH_f (0 K) (eV/atom) | size of the total moment (μB/f.u.) | energy (eV/atom) |
| --- | --- | --- | --- |
| 1 | 0.28 | 1.9 | -5.19 |
| 2 | 0.21 | 7.1 | -7.15 |
| 3 | 0.06 | 6.6 | -7.30 |